*a*
# UInSe

A relaxed UInSe crystal (PBE-GGA, Alexandria).

Output
* D(E_F): 5.2 states/eV/cell

Unit cell a=3.4346 b=3.4346 c=7.1625 alpha=90.00 beta=90.00 gamma=120.00
Space group P3m1 (No. 156)
Inequivalent atoms, fractional coordinates:
1 U 0.0000 0.0000 0.0000 [1 per cell]
2 In 0.3333 0.6667 0.6223 [1 per cell]
3 Se 0.6667 0.3333 0.2864 [1 per cell]


*b*
# UInSe

A relaxed UInSe crystal (PBE-GGA, Alexandria).

Output
* D(E_F): 13.7 states/eV/cell

Unit cell a=3.8759 b=16.4962 c=4.7773 alpha=90.00 beta=90.00 gamma=90.00
Space group Cmcm (No. 63)
Inequivalent atoms, fractional coordinates:
1 U 0.0000 0.2392 0.2500 [4 per cell]
2 In 0.0000 0.4309 0.7500 [4 per cell]
3 Se 0.0000 0.1280 0.7500 [4 per cell]


*b* (103 meV per atom below the next structure)